(1)
Below is crystalline Be2NiPd3 at its relaxed geometry, with properties calculated at the PBE level.

a b c (Å): 2.748 2.748 9.460
angles (deg): 90.00 90.00 90.00
Fractional coordinates of all 6 atoms:
Pd 0.500 0.500 0.339
Pd 0.500 0.500 0.641
Pd 0.000 0.000 0.865
Ni 0.000 0.000 0.146
Be 0.000 0.000 0.492
Be 0.500 0.500 0.016

Properties
The final energy is -5.19 eV per atom. The space-group type is P4mm.

(2)
Below is crystalline BeNiSbPd at its relaxed geometry, with properties calculated at the PBE level.

a b c (Å): 4.316 4.316 4.316
angles (deg): 60.00 60.00 60.00
Fractional coordinates of all 4 atoms:
Sb 0.000 0.000 0.000
Be 0.250 0.250 0.250
Pd 0.500 0.500 0.500
Ni 0.750 0.750 0.750

Properties
As for the energy above the most stable polymorph in this dataset: 98 meV per atom. The space-group type is F-43m.

(3)
Below is crystalline BeNiSbPd at its relaxed geometry, with properties calculated at the PBE level.

a b c (Å): 4.324 4.324 4.324
angles (deg): 60.00 60.00 60.00
Fractional coordinates of all 4 atoms:
Ni 0.750 0.750 0.750
Pd 0.250 0.250 0.250
Sb 0.000 0.000 0.000
Be 0.500 0.500 0.500

Properties
As for the energy above the most stable polymorph in this dataset: 0 meV per atom. The space-group type is F-43m.

(4)
Below is crystalline BeTlNiPd at its relaxed geometry, with properties calculated at the PBE level.

a b c (Å): 4.355 4.355 4.355
angles (deg): 60.00 60.00 60.00
Fractional coordinates of all 4 atoms:
Tl 0.000 0.000 0.000
Ni 0.750 0.750 0.750
Pd 0.250 0.250 0.250
Be 0.500 0.500 0.500

Properties
As for the energy above the most stable polymorph in this dataset: 0 meV per atom. The space-group type is F-43m.

(5)
Below is crystalline BeTlNiPd at its relaxed geometry, with properties calculated at the PBE level.

a b c (Å): 4.314 4.314 4.314
angles (deg): 60.00 60.00 60.00
Fractional coordinates of all 4 atoms:
Be 0.250 0.250 0.250
Tl 0.000 0.000 0.000
Ni 0.750 0.750 0.750
Pd 0.500 0.500 0.500

Properties
As for the energy above the most stable polymorph in this dataset: 19 meV per atom. The space-group type is F-43m.

(6)
Below is crystalline BeZnNiPd at its relaxed geometry, with properties calculated at the PBE level.

a b c (Å): 4.068 4.068 4.068
angles (deg): 60.00 60.00 60.00
Fractional coordinates of all 4 atoms:
Pd 0.250 0.250 0.250
Zn 0.000 0.000 0.000
Be 0.500 0.500 0.500
Ni 0.750 0.750 0.750

Properties
As for the energy above the most stable polymorph in this dataset: 0 meV per atom. The space-group type is F-43m.

(7)
Below is crystalline BeZnNiPd at its relaxed geometry, with properties calculated at the PBE level.

a b c (Å): 4.089 4.089 4.089
angles (deg): 60.00 60.00 60.00
Fractional coordinates of all 4 atoms:
Zn 0.000 0.000 0.000
Be 0.250 0.250 0.250
Ni 0.750 0.750 0.750
Pd 0.500 0.500 0.500

Properties
As for the energy above the most stable polymorph in this dataset: 142 meV per atom. The space-group type is F-43m.

(8)
Below is crystalline PrBeNi at its relaxed geometry, with properties calculated at the PBE level.

a b c (Å): 4.612 4.612 4.612
angles (deg): 60.00 60.00 60.00
Fractional coordinates of all 3 atoms:
Ni 0.750 0.750 0.750
Be 0.250 0.250 0.250
Pr 0.000 0.000 0.000

Properties
The final energy is -3.88 eV per atom. The space-group type is F-43m.

(9)
Below is crystalline Be2NiPt at its relaxed geometry, with properties calculated at the PBE level.

a b c (Å): 3.863 3.863 2.749
angles (deg): 90.00 90.00 90.00
Fractional coordinates of all 4 atoms:
Ni 0.500 0.500 0.000
Pt 0.000 0.000 0.000
Be 0.000 0.500 0.500
Be 0.500 0.000 0.500

Properties
The final energy is -5.39 eV per atom. The space-group type is P4/mmm.

(10)
Below is crystalline Be2NiPt3 at its relaxed geometry, with properties calculated at the PBE level.

a b c (Å): 2.759 2.759 9.562
angles (deg): 90.00 90.00 90.00
Fractional coordinates of all 6 atoms:
Pt 0.500 0.500 0.338
Pt 0.500 0.500 0.642
Pt 0.000 0.000 0.869
Ni 0.000 0.000 0.145
Be 0.500 0.500 0.015
Be 0.000 0.000 0.491

Properties
The final energy is -5.71 eV per atom. The space-group type is P4mm.

(11)
Below is crystalline BeNiPt at its relaxed geometry, with properties calculated at the PBE level.

a b c (Å): 2.710 2.710 9.260
angles (deg): 90.00 90.00 90.00
Fractional coordinates of all 6 atoms:
Be 0.000 0.000 0.000
Be 0.500 0.500 0.500
Ni 0.500 0.500 0.865
Ni 0.500 0.500 0.135
Pt 0.000 0.000 0.661
Pt 0.000 0.000 0.339

Properties
As for the energy above the most stable polymorph in this dataset: 6 meV per atom. The space-group type is P4/mmm.

(12)
Below is crystalline Be2NiPt at its relaxed geometry, with properties calculated at the PBE level.

a b c (Å): 3.863 5.495 11.606
angles (deg): 90.00 90.00 90.00
Fractional coordinates of all 24 atoms:
Ni 0.500 0.000 0.500
Ni 0.000 0.500 0.667
Ni 0.000 0.500 0.333
Ni 0.500 0.000 0.167
Ni 0.000 0.500 0.000
Ni 0.500 0.000 0.833
Pt 0.500 0.500 0.167
Pt 0.500 0.500 0.500
Pt 0.000 0.000 0.000
Pt 0.000 0.000 0.667
Pt 0.500 0.500 0.833
Pt 0.000 0.000 0.333
Be 0.000 0.250 0.833
Be 0.500 0.250 0.000
Be 0.000 0.250 0.500
Be 0.000 0.750 0.833
Be 0.500 0.750 0.000
Be 0.500 0.250 0.667
Be 0.500 0.250 0.333
Be 0.500 0.750 0.333
Be 0.000 0.750 0.500
Be 0.000 0.250 0.167
Be 0.500 0.750 0.667
Be 0.000 0.750 0.167

Properties
The final energy is -5.43 eV per atom. The space-group type is I4/mmm.

(13)
Below is crystalline Be2NiPt at its relaxed geometry, with properties calculated at the PBE level.

a b c (Å): 3.970 3.970 3.970
angles (deg): 60.00 60.00 60.00
Fractional coordinates of all 4 atoms:
Be 0.750 0.750 0.750
Be 0.000 0.000 0.000
Pt 0.500 0.500 0.500
Ni 0.250 0.250 0.250

Properties
The final energy is -5.04 eV per atom. The space-group type is F-43m.

(14)
Below is crystalline Be2NiPt at its relaxed geometry, with properties calculated at the PBE level.

a b c (Å): 5.371 5.374 5.728
angles (deg): 90.00 90.00 90.00
Fractional coordinates of all 16 atoms:
Be 0.500 0.500 0.251
Be 0.000 0.500 0.249
Be 0.000 0.000 0.751
Be 0.500 0.000 0.251
Be 0.500 0.500 0.749
Be 0.000 0.500 0.751
Be 0.500 0.000 0.749
Be 0.000 0.000 0.249
Pt 0.250 0.250 0.999
Pt 0.750 0.750 0.501
Pt 0.750 0.750 0.001
Pt 0.250 0.250 0.499
Ni 0.751 0.250 0.499
Ni 0.251 0.750 0.001
Ni 0.749 0.250 0.999
Ni 0.249 0.750 0.501

Properties
The final energy is -5.39 eV per atom. The space-group type is Pnma.

(15)
Below is crystalline Be2Ni3Pt at its relaxed geometry, with properties calculated at the PBE level.

a b c (Å): 2.656 2.656 8.885
angles (deg): 90.00 90.00 90.00
Fractional coordinates of all 6 atoms:
Pt 0.000 0.000 0.351
Be 0.000 0.000 0.989
Be 0.500 0.500 0.517
Ni 0.500 0.500 0.847
Ni 0.500 0.500 0.133
Ni 0.000 0.000 0.663

Properties
The final energy is -5.40 eV per atom. The space-group type is P4mm.

(16)
Below is crystalline BeNiPt at its relaxed geometry, with properties calculated at the PBE level.

a b c (Å): 3.727 3.727 3.727
angles (deg): 60.00 60.00 60.00
Fractional coordinates of all 3 atoms:
Ni 0.250 0.250 0.250
Be 0.000 0.000 0.000
Pt 0.750 0.750 0.750

Properties
As for the energy above the most stable polymorph in this dataset: 95 meV per atom. The space-group type is F-43m.

(17)
Below is crystalline BeNiPt at its relaxed geometry, with properties calculated at the PBE level.

a b c (Å): 2.733 2.733 9.103
angles (deg): 90.00 90.00 90.00
Fractional coordinates of all 6 atoms:
Be 0.500 0.000 0.724
Be 0.000 0.500 0.276
Pt 0.500 0.000 0.121
Pt 0.000 0.500 0.879
Ni 0.000 0.500 0.584
Ni 0.500 0.000 0.416

Properties
As for the energy above the most stable polymorph in this dataset: 19 meV per atom. The space-group type is P4/nmm.

(18)
Below is crystalline BeNiPt at its relaxed geometry, with properties calculated at the PBE level.

a b c (Å): 4.981 4.981 4.981
angles (deg): 148.28 148.28 45.47
Fractional coordinates of all 3 atoms:
Be 0.994 0.994 0.000
Ni 0.355 0.355 0.000
Pt 0.650 0.650 0.000

Properties
As for the energy above the most stable polymorph in this dataset: 0 meV per atom. The space-group type is I4mm.

(19)
Below is crystalline SmBeNiPt3 at its relaxed geometry, with properties calculated at the PBE level.

a b c (Å): 5.416 5.416 3.869
angles (deg): 90.00 90.00 120.00
Last column: magnetic moment on the atom in μB.
Fractional coordinates of all 6 atoms:
Sm 0.667 0.333 0.000  0.00
Pt 0.164 0.836 0.500  0.05
Pt 0.164 0.329 0.500  0.04
Pt 0.671 0.836 0.500  0.04
Ni 0.333 0.667 0.000  0.21
Be 0.000 0.000 0.000  0.00

Properties
The final energy is -6.10 eV per atom. The space-group type is P-6m2.

(20)
Below is crystalline BeNiSnPt at its relaxed geometry, with properties calculated at the PBE level.

a b c (Å): 4.324 4.324 4.324
angles (deg): 60.00 60.00 60.00
Fractional coordinates of all 4 atoms:
Sn 0.000 0.000 0.000
Be 0.500 0.500 0.500
Pt 0.250 0.250 0.250
Ni 0.750 0.750 0.750

Properties
As for the energy above the most stable polymorph in this dataset: 0 meV per atom. The space-group type is F-43m.

(21)
Below is crystalline BeNiSnPt at its relaxed geometry, with properties calculated at the PBE level.

a b c (Å): 4.287 4.287 4.287
angles (deg): 60.00 60.00 60.00
Fractional coordinates of all 4 atoms:
Be 0.250 0.250 0.250
Sn 0.000 0.000 0.000
Pt 0.500 0.500 0.500
Ni 0.750 0.750 0.750

Properties
As for the energy above the most stable polymorph in this dataset: 96 meV per atom. The space-group type is F-43m.

(22)
Below is crystalline RbBeNiSb at its relaxed geometry, with properties calculated at the PBE level.

a b c (Å): 4.977 4.977 4.977
angles (deg): 60.00 60.00 60.00
Fractional coordinates of all 4 atoms:
Ni 0.500 0.500 0.500
Be 0.750 0.750 0.750
Sb 0.000 0.000 0.000
Rb 0.250 0.250 0.250

Properties
As for the energy above the most stable polymorph in this dataset: 236 meV per atom. The space-group type is F-43m.

(23)
Below is crystalline RbBeNiSb at its relaxed geometry, with properties calculated at the PBE level.

a b c (Å): 4.904 4.904 4.904
angles (deg): 60.00 60.00 60.00
Fractional coordinates of all 4 atoms:
Sb 0.250 0.250 0.250
Rb 0.500 0.500 0.500
Ni 0.000 0.000 0.000
Be 0.750 0.750 0.750

Properties
As for the energy above the most stable polymorph in this dataset: 149 meV per atom. The space-group type is F-43m.

(24)
Below is crystalline RbBeNiSb at its relaxed geometry, with properties calculated at the PBE level.

a b c (Å): 4.835 4.835 4.835
angles (deg): 60.00 60.00 60.00
Fractional coordinates of all 4 atoms:
Sb 0.000 0.000 0.000
Be 0.750 0.750 0.750
Ni 0.250 0.250 0.250
Rb 0.500 0.500 0.500

Properties
As for the energy above the most stable polymorph in this dataset: 0 meV per atom. The space-group type is F-43m.

(25)
Below is crystalline RbBeNiSe3 at its relaxed geometry, with properties calculated at the PBE level.

a b c (Å): 7.710 7.710 10.144
angles (deg): 90.00 90.00 152.36
Fractional coordinates of all 12 atoms:
Se 0.051 0.949 0.250
Se 0.601 0.399 0.946
Se 0.949 0.051 0.750
Se 0.399 0.601 0.446
Se 0.399 0.601 0.054
Se 0.601 0.399 0.554
Rb 0.742 0.258 0.250
Rb 0.258 0.742 0.750
Ni 0.000 0.000 0.000
Ni 0.000 0.000 0.500
Be 0.467 0.533 0.250
Be 0.533 0.467 0.750

Properties
The final energy is -4.08 eV per atom. The space-group type is Cmcm.

(26)
Below is crystalline Be2ReNi at its relaxed geometry, with properties calculated at the PBE level.

a b c (Å): 3.947 3.947 3.947
angles (deg): 60.00 60.00 60.00
Fractional coordinates of all 4 atoms:
Ni 0.250 0.250 0.250
Be 0.750 0.750 0.750
Be 0.000 0.000 0.000
Re 0.500 0.500 0.500

Properties
The final energy is -6.19 eV per atom. The space-group type is F-43m.

(27)
Below is crystalline BeReNi at its relaxed geometry, with properties calculated at the PBE level.

a b c (Å): 3.796 3.796 3.796
angles (deg): 60.00 60.00 60.00
Fractional coordinates of all 3 atoms:
Ni 0.000 0.000 0.000
Re 0.750 0.750 0.750
Be 0.250 0.250 0.250

Properties
As for the energy above the most stable polymorph in this dataset: 0 meV per atom. The space-group type is F-43m.

(28)
Below is crystalline BeReNi2 at its relaxed geometry, with properties calculated at the PBE level.

a b c (Å): 3.935 3.935 3.935
angles (deg): 60.00 60.00 60.00
Fractional coordinates of all 4 atoms:
Re 0.250 0.250 0.250
Ni 0.750 0.750 0.750
Ni 0.000 0.000 0.000
Be 0.500 0.500 0.500

Properties
The final energy is -6.75 eV per atom. The space-group type is F-43m.